# 1
VASP calculation (GGA-PBE) on a relaxed structure of La9TmCd2.

abc: 5.1040 5.1040 15.3975
angles: 90.00 90.00 90.00
Space group P4/mmm (No. 123)
Unique sites:
La  0.0000  0.0000  0.0000 x1
La  0.0000  0.0000  0.3337 x2
La  0.0000  0.5000  0.1703 x4
La  0.0000  0.5000  0.5000 x2
Tm  0.5000  0.5000  0.0000 x1
Cd  0.5000  0.5000  0.3382 x2

The value obtained for the volume is 401 Å³/cell. The total energy comes out at -4.303 eV/atom. The formation enthalpy at 0 K comes out at -0.0823 eV/atom.



# 2
VASP calculation (GGA-PBE) on a relaxed structure of Ho2InH.

abc: 4.5259 4.5259 8.4407
angles: 90.00 90.00 90.00
Space group P4/nmm (No. 129, origin choice 2)
Unique sites:
Ho  0.2500  0.2500  0.1532 x2
Ho  0.2500  0.7500  0.5000 x2
In  0.2500  0.2500  0.7782 x2
H  0.2500  0.2500  0.4200 x2

The value obtained for the volume is 173 Å³/cell. The energy above the most stable polymorph in this dataset comes out at 0 meV per atom. The total energy comes out at -4.261 eV/atom.



# 3
VASP calculation (GGA-PBE) on a relaxed structure of HoCd3Hg3.

abc: 7.7800 7.7800 7.7800
angles: 90.00 90.00 90.00
Space group Pm-3n (No. 223)
Unique sites:
Ho  0.0000  0.0000  0.0000 x2
Cd  0.0000  0.2500  0.5000 x6
Hg  0.0000  0.5000  0.2500 x6

The value obtained for the volume is 471 Å³/cell. The energy above the most stable polymorph in this dataset comes out at 582 meV per atom. The total energy comes out at -0.730 eV/atom. The formation enthalpy at 0 K comes out at 0.4453 eV/atom.



# 4
VASP calculation (GGA-PBE) on a relaxed structure of K2PuTiSe4.

abc: 7.0018 4.0668 8.0148
angles: 90.00 106.94 90.00
Space group P2/m (No. 10)
Unique sites:
K  0.0000  0.0000  0.0000 x1
K  0.5000  0.5000  0.0000 x1
Pu  0.0000  0.5000  0.5000 x1
Ti  0.5000  0.0000  0.5000 x1
Se  0.2549  0.0000  0.7023 x2
Se  0.2882  0.5000  0.3069 x2

The value obtained for the volume is 218 Å³/cell. The total energy comes out at -6.100 eV/atom.



# 5
VASP calculation (GGA-PBE) on a relaxed structure of Sr2CaCdAs.

abc: 5.9998 5.9998 5.6104
angles: 90.00 90.00 90.00
Space group P4/mmm (No. 123)
Unique sites:
Sr  0.0000  0.5000  0.0000 x2
Ca  0.0000  0.0000  0.5000 x1
Cd  0.5000  0.5000  0.5000 x1
As  0.0000  0.0000  0.0000 x1

The value obtained for the volume is 202 Å³/cell. The total energy comes out at -2.710 eV/atom. The formation enthalpy at 0 K comes out at -0.5244 eV/atom.



# 6
VASP calculation (GGA-PBE) on a relaxed structure of SmY3Ho6Er2.

abc: 6.1354 10.6146 11.7430
angles: 90.00 99.98 90.00
Space group C2/m (No. 12)
Unique sites:
Sm  0.0000  0.0000  0.0000 x2
Y  0.0000  0.1669  0.5000 x4
Y  0.0000  0.5000  0.5000 x2
Ho  0.2493  0.3331  0.7508 x8
Ho  0.2501  0.0000  0.7509 x4
Er  0.0000  0.3333  0.0000 x4

The value obtained for the volume is 753 Å³/cell. The total energy comes out at -5.037 eV/atom. The formation enthalpy at 0 K comes out at 0.0212 eV/atom.